No. 1
Density functional theory data (GGA-PBE) for a relaxed Er2PdPt crystal.

Lattice parameters (Å, degrees): 5.538 4.530 6.918 90.00 90.14 90.00
Space group P2_1/m (No. 11)
Symmetry-distinct sites (fractional):
Er  0.139  0.250  0.186 (multiplicity 2)
Er  0.358  0.250  0.677 (multiplicity 2)
Pd  0.347  0.750  0.959 (multiplicity 2)
Pt  0.159  0.750  0.455 (multiplicity 2)

Summary:
As for the volume: 21.70 Å³/atom. The formation energy from the elements is -1143 meV per atom. For the size of the total moment, the calculation gives 0.01 Bohr magnetons per cell.



No. 2
Density functional theory data (GGA-PBE) for a relaxed Co3P2S8 crystal.

Lattice parameters (Å, degrees): 6.5556 6.5556 7.3566 90.00 90.00 120.00
Space group P-3m1 (No. 164)
Symmetry-distinct sites (fractional):
Co  0.0000  0.5000  0.0000 (multiplicity 3)
P  0.3333  0.6667  0.3296 (multiplicity 2)
S  0.1762  0.3524  0.1711 (multiplicity 6)
S  0.3333  0.6667  0.5910 (multiplicity 2)

Summary:
Its total energy is -67.4 eV/cell. As for the volume: 21.06 Å³/atom. For the size of the total moment, the calculation gives 3.00 Bohr magnetons per cell.



No. 3
Density functional theory data (GGA-PBE) for a relaxed ScNb2W crystal.

Lattice parameters (Å, degrees): 6.620 6.620 6.620 90.00 90.00 90.00
Space group F-43m (No. 216)
Symmetry-distinct sites (fractional):
Sc  0.000  0.000  0.000 (multiplicity 4)
Nb  0.000  0.000  0.500 (multiplicity 4)
Nb  0.250  0.250  0.250 (multiplicity 4)
W  0.250  0.250  0.750 (multiplicity 4)

Summary:
As for the volume: 18.13 Å³/atom. The formation energy from the elements is 220 meV per atom. For the size of the total moment, the calculation gives 0.05 Bohr magnetons per cell.



No. 4
Density functional theory data (GGA-PBE) for a relaxed TbGd2Sn3Pt3 crystal.

Lattice parameters (Å, degrees): 4.040 13.073 7.554 90.00 90.00 90.00
Space group Amm2 (No. 38)
Symmetry-distinct sites (fractional):
Tb  0.000  0.000  0.000 (multiplicity 2)
Gd  0.000  0.203  0.390 (multiplicity 4)
Sn  0.500  0.000  0.336 (multiplicity 2)
Sn  0.500  0.129  0.722 (multiplicity 4)
Pt  0.000  0.000  0.594 (multiplicity 2)
Pt  0.500  0.166  0.093 (multiplicity 4)

Summary:
Its total energy is -107.9 eV/cell. As for the volume: 22.16 Å³/atom. For the size of the total moment, the calculation gives 0.00 Bohr magnetons per cell.



No. 5
Density functional theory data (GGA-PBE) for a relaxed MgScCd2 crystal.

Lattice parameters (Å, degrees): 3.327 3.327 7.718 90.00 90.00 90.00
Space group P4/mmm (No. 123)
Symmetry-distinct sites (fractional):
Mg  0.000  0.000  0.000 (multiplicity 1)
Sc  0.000  0.000  0.500 (multiplicity 1)
Cd  0.500  0.500  0.245 (multiplicity 2)

Summary:
Its total energy is -10.6 eV/cell. As for the volume: 21.36 Å³/atom. For the size of the total moment, the calculation gives 0.31 Bohr magnetons per cell.



No. 6
Density functional theory data (GGA-PBE) for a relaxed Hg2BiPb crystal.

Lattice parameters (Å, degrees): 7.734 7.734 7.734 90.00 90.00 90.00
Space group F-43m (No. 216)
Symmetry-distinct sites (fractional):
Hg  0.000  0.000  0.000 (multiplicity 4)
Hg  0.250  0.250  0.250 (multiplicity 4)
Bi  0.250  0.250  0.750 (multiplicity 4)
Pb  0.000  0.000  0.500 (multiplicity 4)

Summary:
Its total energy is -33.1 eV/cell. As for the volume: 28.91 Å³/atom.